[1]
GGA-PBE SmSiB, optimized geometry; energy = -6.24 eV per atom; ΔE_f (raw) = -0.633 eV per atom
1.0
3.5891 0.0000 0.0000
-1.7945 3.1082 0.0000
0.0000 0.0000 4.2867
Sm Si B
1 1 1
direct
0.0000 0.0000 0.0000 Sm
0.6667 0.3333 0.5000 Si
0.3333 0.6667 0.5000 B


[2]
GGA-PBE Sm2Si3B, optimized geometry; energy = -5.95 eV per atom; ΔE_f (raw) = -0.553 eV per atom
1.0
0.0000 4.2708 6.5603
3.8512 0.0000 6.5603
3.8512 4.2708 0.0000
Sm Si B
4 6 2
direct
0.2447 0.7553 0.2447 Sm
0.2500 0.2500 0.2500 Sm
0.7500 0.7500 0.7500 Sm
0.7553 0.2447 0.7553 Sm
0.1767 0.1767 0.8233 Si
0.1801 0.6406 0.8199 Si
0.3594 0.8199 0.6406 Si
0.6406 0.1801 0.3594 Si
0.8199 0.3594 0.1801 Si
0.8233 0.8233 0.1767 Si
0.3332 0.3332 0.6668 B
0.6668 0.6668 0.3332 B


[3]
GGA-PBE SmSiB, optimized geometry; energy = -6.10 eV per atom; ΔE_f (raw) = -0.491 eV per atom
1.0
3.6124 0.0000 0.0000
0.0000 4.2447 0.0000
0.0000 0.0000 6.3057
Sm Si B
2 2 2
direct
0.2500 0.0000 0.2356 Sm
0.7500 0.0000 0.7644 Sm
0.2500 0.5000 0.6116 Si
0.7500 0.5000 0.3884 Si
0.2500 0.5000 0.9412 B
0.7500 0.5000 0.0588 B


[4]
GGA-PBE SmSiB, optimized geometry; energy = -6.15 eV per atom; ΔE_f (raw) = -0.546 eV per atom
1.0
-1.9469 1.9469 6.2865
1.9469 -1.9469 6.2865
1.9469 1.9469 -6.2865
Sm Si B
2 2 2
direct
0.0000 0.0000 0.0000 Sm
0.7500 0.2500 0.5000 Sm
0.3294 0.8294 0.5000 Si
0.5794 0.5794 0.0000 Si
0.1642 0.6642 0.5000 B
0.4142 0.4142 0.0000 B


[5]
GGA-PBE SiSnB, optimized geometry; energy = -5.01 eV per atom; ΔE_f (raw) = 0.362 eV per atom
1.0
-1.5548 2.9632 5.8725
1.5548 -2.9632 5.8725
1.5548 2.9632 -5.8725
Si Sn B
2 2 2
direct
0.1613 0.2500 0.4113 Si
0.8387 0.7500 0.5887 Si
0.5011 0.4749 0.5262 Sn
0.9487 0.9749 0.4738 Sn
0.3390 0.1494 0.6896 B
0.4598 0.6494 0.3104 B


[6]
GGA-PBE Si2SnB, optimized geometry; energy = -5.10 eV per atom; ΔE_f (raw) = 0.282 eV per atom
1.0
-2.7004 2.7004 5.1608
2.7004 -2.7004 5.1608
2.7004 2.7004 -5.1608
Si Sn B
4 2 2
direct
0.0318 0.6250 0.9068 Si
0.3750 0.2818 0.4068 Si
0.7182 0.1250 0.0932 Si
0.8750 0.9682 0.5932 Si
0.2500 0.7500 0.5000 Sn
0.5000 0.5000 0.0000 Sn
0.0000 0.0000 0.0000 B
0.7500 0.2500 0.5000 B


[7]
GGA-PBE SiSnB3, optimized geometry; energy = -3.51 eV per atom; ΔE_f (raw) = 2.382 eV per atom
1.0
4.4756 0.0000 0.0000
0.0000 4.4756 0.0000
0.0000 0.0000 4.4756
Si Sn B
1 1 3
direct
0.0000 0.0000 0.0000 Si
0.5000 0.5000 0.5000 Sn
0.0000 0.5000 0.5000 B
0.5000 0.0000 0.5000 B
0.5000 0.5000 0.0000 B


[8]
GGA-PBE SiSnB, optimized geometry; energy = -5.12 eV per atom; ΔE_f (raw) = 0.247 eV per atom
1.0
2.9575 -1.7070 0.0000
2.9575 1.7070 0.0000
-1.8923 0.0000 5.4579
Si Sn B
1 1 1
direct
0.0000 0.0000 0.0000 Si
0.1788 0.1788 0.5231 Sn
0.3200 0.3200 0.9589 B


[9]
GGA-PBE SiSn3B, optimized geometry; energy = -4.09 eV per atom; ΔE_f (raw) = 0.735 eV per atom
1.0
4.8085 0.0000 0.0000
0.0000 4.8085 0.0000
0.0000 0.0000 4.8085
Si Sn B
1 3 1
direct
0.0000 0.0000 0.0000 Si
0.0000 0.5000 0.5000 Sn
0.5000 0.0000 0.5000 Sn
0.5000 0.5000 0.0000 Sn
0.5000 0.5000 0.5000 B


[10]
GGA-PBE Si3SnB, optimized geometry; energy = -4.74 eV per atom; ΔE_f (raw) = 0.655 eV per atom
1.0
4.3134 0.0000 0.0000
0.0000 4.3134 0.0000
0.0000 0.0000 4.3134
Si Sn B
3 1 1
direct
0.0000 0.0000 0.5000 Si
0.0000 0.5000 0.0000 Si
0.5000 0.0000 0.0000 Si
0.5000 0.5000 0.5000 Sn
0.0000 0.0000 0.0000 B


[11]
GGA-PBE SiSnB3, optimized geometry; energy = -4.48 eV per atom; ΔE_f (raw) = 1.412 eV per atom
1.0
4.0905 0.0000 0.0000
0.0000 4.0905 0.0000
0.0000 0.0000 4.0905
Si Sn B
1 1 3
direct
0.0000 0.0000 0.0000 Si
0.5000 0.5000 0.5000 Sn
0.0000 0.0000 0.5000 B
0.0000 0.5000 0.0000 B
0.5000 0.0000 0.0000 B


[12]
GGA-PBE SiSnB, optimized geometry; energy = -5.14 eV per atom; ΔE_f (raw) = 0.226 eV per atom
1.0
3.4331 0.0000 0.0000
-1.7166 2.9732 0.0000
0.0000 0.0000 5.2548
Si Sn B
1 1 1
direct
0.0000 0.0000 0.0000 Si
0.3333 0.6667 0.5000 Sn
0.3333 0.6667 0.0000 B